# 1
VASP calculation (PBE) on a relaxed YHo2AgN crystal.

Electronic total energy: -6.1130 eV per atom
Total magnetic moment: 0.00 μB/f.u.

a b c (Å): 4.7584 4.7584 4.8200
angles (deg): 90.00 90.00 90.00
Element x y z (fractional)
Y 0.0000 0.0000 0.0000
Ho 0.0000 0.5000 0.5000
Ho 0.5000 0.0000 0.5000
Ag 0.5000 0.5000 0.0000
N 0.0000 0.0000 0.5000

***

# 2
VASP calculation (PBE) on a relaxed LaSm6Tm12 crystal.

Total magnetic moment: 0.00 μB/f.u.
Energy above the lowest structure with this stoichiometry: 334 meV/atom
DFT formation energy: 445 meV/atom

a b c (Å): 9.2039 9.2039 9.2039
angles (deg): 106.31 106.31 106.31
Element x y z (fractional)
La 0.0000 0.0000 0.0000
Sm 0.2895 0.6893 0.6893
Sm 0.3107 0.3107 0.7105
Sm 0.3107 0.7105 0.3107
Sm 0.6893 0.2895 0.6893
Sm 0.6893 0.6893 0.2895
Sm 0.7105 0.3107 0.3107
Tm 0.1085 0.3442 0.3442
Tm 0.1118 0.5000 0.8882
Tm 0.1118 0.8882 0.5000
Tm 0.3442 0.1085 0.3442
Tm 0.3442 0.3442 0.1085
Tm 0.5000 0.1118 0.8882
Tm 0.5000 0.8882 0.1118
Tm 0.6558 0.6558 0.8915
Tm 0.6558 0.8915 0.6558
Tm 0.8882 0.1118 0.5000
Tm 0.8882 0.5000 0.1118
Tm 0.8915 0.6558 0.6558

***

# 3
VASP calculation (PBE) on a relaxed Nd2ThPt9 crystal.

Total magnetic moment: 0.00 μB/f.u.
DFT formation energy: -955 meV/atom

a b c (Å): 9.5101 9.5101 9.5101
angles (deg): 33.33 33.33 33.33
Element x y z (fractional)
Nd 0.1396 0.1396 0.1396
Nd 0.8604 0.8604 0.8604
Th 0.0000 0.0000 0.0000
Pt 0.0814 0.5860 0.5860
Pt 0.3330 0.3330 0.3330
Pt 0.4140 0.4140 0.9186
Pt 0.4140 0.9186 0.4140
Pt 0.5000 0.5000 0.5000
Pt 0.5860 0.0814 0.5860
Pt 0.5860 0.5860 0.0814
Pt 0.6670 0.6670 0.6670
Pt 0.9186 0.4140 0.4140

***

# 4
VASP calculation (PBE) on a relaxed CrSi2Pd crystal.

Electronic total energy: -6.1488 eV per atom
Total magnetic moment: 0.00 μB/f.u.

a b c (Å): 6.4615 6.4615 5.6613
angles (deg): 90.00 90.00 90.00
Element x y z (fractional)
Cr 0.0000 0.0000 0.0000
Cr 0.0000 0.5000 0.2500
Cr 0.5000 0.0000 0.7500
Cr 0.5000 0.5000 0.5000
Si 0.2494 0.2500 0.1250
Si 0.2500 0.7494 0.3750
Si 0.2500 0.7506 0.8750
Si 0.2506 0.2500 0.6250
Si 0.7494 0.7500 0.6250
Si 0.7500 0.2494 0.8750
Si 0.7500 0.2506 0.3750
Si 0.7506 0.7500 0.1250
Pd 0.0000 0.0000 0.5000
Pd 0.0000 0.5000 0.7500
Pd 0.5000 0.0000 0.2500
Pd 0.5000 0.5000 0.0000

***

# 5
VASP calculation (PBE) on a relaxed NdSmTh4 crystal.

Total magnetic moment: 0.00 μB/f.u.
Energy above the lowest structure with this stoichiometry: 208 meV/atom
DFT formation energy: 263 meV/atom

a b c (Å): 6.6685 6.6685 6.6685
angles (deg): 60.00 60.00 60.00
Element x y z (fractional)
Nd 0.0000 0.0000 0.0000
Sm 0.7500 0.7500 0.7500
Th 0.3752 0.3752 0.3752
Th 0.3752 0.3752 0.8745
Th 0.3752 0.8745 0.3752
Th 0.8745 0.3752 0.3752

***

# 6
VASP calculation (PBE) on a relaxed Dy8Tm6In crystal.

Total magnetic moment: 0.00 μB/f.u.
Energy above the lowest structure with this stoichiometry: 64 meV/atom
DFT formation energy: 94 meV/atom

a b c (Å): 9.2579 9.2579 6.2869
angles (deg): 90.00 90.00 120.00
Element x y z (fractional)
Dy 0.0409 0.2696 0.3151
Dy 0.2287 0.9591 0.3151
Dy 0.2696 0.2287 0.6849
Dy 0.3333 0.6667 0.3118
Dy 0.6667 0.3333 0.6882
Dy 0.7304 0.7713 0.3151
Dy 0.7713 0.0409 0.6849
Dy 0.9591 0.7304 0.6849
Tm 0.0948 0.4521 0.8215
Tm 0.3573 0.9052 0.8215
Tm 0.4521 0.3573 0.1785
Tm 0.5479 0.6427 0.8215
Tm 0.6427 0.0948 0.1785
Tm 0.9052 0.5479 0.1785
In 0.0000 0.0000 0.0000

***

# 7
VASP calculation (PBE) on a relaxed PrSm3Y2As6 crystal.

Total magnetic moment: 0.00 μB/f.u.
DFT formation energy: -1527 meV/atom

a b c (Å): 7.2768 7.2768 7.2780
angles (deg): 99.59 99.59 119.99
Element x y z (fractional)
Pr 0.0000 0.0000 0.0000
Sm 0.1654 0.8346 0.5000
Sm 0.5000 0.5000 0.5000
Sm 0.8346 0.1654 0.5000
Y 0.3330 0.6670 0.0000
Y 0.6670 0.3330 0.0000
As 0.0830 0.4220 0.2487
As 0.2565 0.2565 0.7524
As 0.4220 0.0830 0.2487
As 0.5780 0.9170 0.7513
As 0.7435 0.7435 0.2476
As 0.9170 0.5780 0.7513

***

# 8
VASP calculation (PBE) on a relaxed Nd3Ho3Tm crystal.

Total magnetic moment: 0.00 μB/f.u.
Energy above the lowest structure with this stoichiometry: 148 meV/atom
DFT formation energy: 170 meV/atom

a b c (Å): 14.8104 14.8104 14.8104
angles (deg): 24.23 24.23 24.23
Element x y z (fractional)
Nd 0.1307 0.4614 0.7997
Nd 0.2003 0.8693 0.5386
Nd 0.4614 0.7997 0.1307
Nd 0.5386 0.2003 0.8693
Nd 0.7997 0.1307 0.4614
Nd 0.8693 0.5386 0.2003
Ho 0.0639 0.7305 0.3973
Ho 0.2695 0.6027 0.9361
Ho 0.3973 0.0639 0.7305
Ho 0.6027 0.9361 0.2695
Ho 0.7305 0.3973 0.0639
Ho 0.9361 0.2695 0.6027
Tm 0.3333 0.3333 0.3333
Tm 0.6667 0.6667 0.6667

***

# 9
VASP calculation (PBE) on a relaxed PaNi4H6Au crystal.

Electronic total energy: -4.8857 eV per atom
Total magnetic moment: 0.35 μB/f.u.

a b c (Å): 4.3552 4.3552 6.4092
angles (deg): 90.00 90.00 120.00
Element x y z (fractional)
Pa 0.0000 0.0000 0.0000
Ni 0.3333 0.6667 0.3082
Ni 0.3333 0.6667 0.6918
Ni 0.6667 0.3333 0.3082
Ni 0.6667 0.3333 0.6918
H 0.0000 0.5000 0.1456
H 0.0000 0.5000 0.8544
H 0.5000 0.0000 0.1456
H 0.5000 0.0000 0.8544
H 0.5000 0.5000 0.1456
H 0.5000 0.5000 0.8544
Au 0.0000 0.0000 0.5000

***

# 10
VASP calculation (PBE) on a relaxed Th4Ni3Sb8 crystal.

Electronic total energy: -6.0821 eV per atom
Total magnetic moment: 0.00 μB/f.u.

a b c (Å): 4.4346 4.4346 18.9724
angles (deg): 90.00 90.00 90.00
Element x y z (fractional)
Th 0.0000 0.5000 0.1128
Th 0.0000 0.5000 0.6166
Th 0.5000 0.0000 0.3834
Th 0.5000 0.0000 0.8872
Ni 0.0000 0.0000 0.0000
Ni 0.0000 0.0000 0.5000
Ni 0.5000 0.5000 0.5000
Sb 0.0000 0.0000 0.2474
Sb 0.0000 0.0000 0.7526
Sb 0.0000 0.5000 0.4278
Sb 0.0000 0.5000 0.9318
Sb 0.5000 0.0000 0.0682
Sb 0.5000 0.0000 0.5722
Sb 0.5000 0.5000 0.2475
Sb 0.5000 0.5000 0.7525

***

# 11
VASP calculation (PBE) on a relaxed Ba6HgPt3 crystal.

Total magnetic moment: 0.00 μB/f.u.
DFT formation energy: -623 meV/atom

a b c (Å): 13.2919 4.7025 13.5449
angles (deg): 90.00 108.63 90.00
Element x y z (fractional)
Ba 0.0318 0.2500 0.3930
Ba 0.1084 0.2500 0.9466
Ba 0.2115 0.7500 0.2637
Ba 0.2841 0.7500 0.7616
Ba 0.3645 0.2500 0.5364
Ba 0.4264 0.7500 0.0881
Ba 0.5736 0.2500 0.9119
Ba 0.6355 0.7500 0.4636
Ba 0.7159 0.2500 0.2384
Ba 0.7885 0.2500 0.7363
Ba 0.8916 0.7500 0.0534
Ba 0.9682 0.7500 0.6070
Hg 0.4443 0.2500 0.3002
Hg 0.5557 0.7500 0.6998
Pt 0.0502 0.2500 0.1651
Pt 0.1892 0.7500 0.5011
Pt 0.3416 0.2500 0.9223
Pt 0.6584 0.7500 0.0777
Pt 0.8108 0.2500 0.4989
Pt 0.9498 0.7500 0.8349

***

# 12
VASP calculation (PBE) on a relaxed MnTcRu2 crystal.

Total magnetic moment: 2.78 μB/f.u.
Energy above the lowest structure with this stoichiometry: 142 meV/atom
DFT formation energy: 206 meV/atom

a b c (Å): 2.8730 4.3512 8.8748
angles (deg): 90.00 90.00 90.00
Element x y z (fractional)
Mn 0.0000 0.0000 0.0000
Mn 0.5000 0.5000 0.5000
Tc 0.0000 0.0000 0.5000
Tc 0.5000 0.5000 0.0000
Ru 0.0000 0.5000 0.2725
Ru 0.0000 0.5000 0.7275
Ru 0.5000 0.0000 0.2275
Ru 0.5000 0.0000 0.7725

***

# 13
VASP calculation (PBE) on a relaxed Li2VPt crystal.

Total magnetic moment: 1.93 μB/f.u.
Energy above the lowest structure with this stoichiometry: 25 meV/atom
DFT formation energy: 13 meV/atom

a b c (Å): 3.6133 3.6133 19.1430
angles (deg): 90.00 90.00 90.00
Element x y z (fractional)
Li 0.2287 0.2500 0.1250
Li 0.2500 0.7287 0.3750
Li 0.2500 0.7713 0.8750
Li 0.2713 0.2500 0.6250
Li 0.7287 0.7500 0.6250
Li 0.7500 0.2287 0.8750
Li 0.7500 0.2713 0.3750
Li 0.7713 0.7500 0.1250
V 0.0000 0.0000 0.5000
V 0.0000 0.5000 0.7500
V 0.5000 0.0000 0.2500
V 0.5000 0.5000 0.0000
Pt 0.0000 0.0000 0.0000
Pt 0.0000 0.5000 0.2500
Pt 0.5000 0.0000 0.7500
Pt 0.5000 0.5000 0.5000

***

# 14
VASP calculation (PBE) on a relaxed In2AgPd7 crystal.

Total magnetic moment: 0.00 μB/f.u.
DFT formation energy: 146 meV/atom

a b c (Å): 7.9709 7.9709 4.0887
angles (deg): 90.00 90.00 125.50
Element x y z (fractional)
In 0.1953 0.8047 0.0000
In 0.8047 0.1953 0.0000
Ag 0.5000 0.5000 0.5000
Pd 0.0000 0.0000 0.0000
Pd 0.2136 0.4147 0.0000
Pd 0.3117 0.6883 0.5000
Pd 0.4147 0.2136 0.0000
Pd 0.5853 0.7864 0.0000
Pd 0.6883 0.3117 0.5000
Pd 0.7864 0.5853 0.0000

***

# 15
VASP calculation (PBE) on a relaxed Li2RuSe crystal.

Electronic total energy: -4.2901 eV per atom
Total magnetic moment: 0.00 μB/f.u.

a b c (Å): 4.8868 8.2982 2.8825
angles (deg): 90.00 90.23 90.00
Element x y z (fractional)
Li 0.2500 0.2500 0.0000
Li 0.2500 0.7500 0.0000
Li 0.7500 0.2500 0.0000
Li 0.7500 0.7500 0.0000
Ru 0.0000 0.0000 0.5000
Ru 0.5000 0.5000 0.5000
Se 0.0000 0.5000 0.5000
Se 0.5000 0.0000 0.5000

***

# 16
VASP calculation (PBE) on a relaxed Y2NiTe crystal.

Electronic total energy: -6.0590 eV per atom
Total magnetic moment: 0.00 μB/f.u.

a b c (Å): 3.7271 4.5807 10.9791
angles (deg): 90.00 90.00 90.00
Element x y z (fractional)
Y 0.0000 0.0000 0.0000
Y 0.0000 0.5000 0.2206
Y 0.5000 0.0000 0.7206
Y 0.5000 0.5000 0.5000
Ni 0.0000 0.5000 0.7305
Ni 0.5000 0.0000 0.2305
Te 0.0000 0.0000 0.4184
Te 0.5000 0.5000 0.9184

***

# 17
VASP calculation (PBE) on a relaxed ZrBiPb2O6 crystal.

Electronic total energy: -6.6509 eV per atom
Total magnetic moment: 0.00 μB/f.u.

a b c (Å): 5.9550 6.0815 10.3977
angles (deg): 90.00 124.82 90.00
Element x y z (fractional)
Zr 0.0000 0.0000 0.0000
Zr 0.0000 0.5000 0.5000
Bi 0.5000 0.0000 0.5000
Bi 0.5000 0.5000 0.0000
Pb 0.2554 0.0336 0.7493
Pb 0.2554 0.4664 0.2493
Pb 0.7446 0.5336 0.7507
Pb 0.7446 0.9664 0.2507
O 0.1483 0.0258 0.2413
O 0.1483 0.4742 0.7413
O 0.2334 0.7092 0.0454
O 0.2334 0.7908 0.5454
O 0.3372 0.1938 0.0461
O 0.3372 0.3062 0.5461
O 0.6628 0.6938 0.4539
O 0.6628 0.8062 0.9539
O 0.7666 0.2092 0.4546
O 0.7666 0.2908 0.9546
O 0.8517 0.5258 0.2587
O 0.8517 0.9742 0.7587

***

# 18
VASP calculation (PBE) on a relaxed PrSm2 crystal.

Total magnetic moment: 0.00 μB/f.u.
Energy above the lowest structure with this stoichiometry: 99 meV/atom
DFT formation energy: 108 meV/atom

a b c (Å): 6.0833 6.0913 6.3694
angles (deg): 90.00 118.42 90.00
Element x y z (fractional)
Pr 0.0000 0.0000 0.0000
Pr 0.5000 0.5000 0.0000
Sm 0.1711 0.5000 0.3424
Sm 0.3289 0.0000 0.6576
Sm 0.6711 0.0000 0.3424
Sm 0.8289 0.5000 0.6576

***

# 19
VASP calculation (PBE) on a relaxed ScTaReNi crystal.

Total magnetic moment: 0.00 μB/f.u.
DFT formation energy: -271 meV/atom

a b c (Å): 6.3522 6.3522 6.3522
angles (deg): 90.00 90.00 90.00
Element x y z (fractional)
Sc 0.0000 0.0000 0.0000
Sc 0.0000 0.5000 0.5000
Sc 0.5000 0.0000 0.5000
Sc 0.5000 0.5000 0.0000
Ta 0.0000 0.0000 0.5000
Ta 0.0000 0.5000 0.0000
Ta 0.5000 0.0000 0.0000
Ta 0.5000 0.5000 0.5000
Re 0.2500 0.2500 0.2500
Re 0.2500 0.7500 0.7500
Re 0.7500 0.2500 0.7500
Re 0.7500 0.7500 0.2500
Ni 0.2500 0.2500 0.7500
Ni 0.2500 0.7500 0.2500
Ni 0.7500 0.2500 0.2500
Ni 0.7500 0.7500 0.7500

***

# 20
VASP calculation (PBE) on a relaxed Tb2AlTc crystal.

Total magnetic moment: 0.00 μB/f.u.
DFT formation energy: 368 meV/atom

a b c (Å): 3.3449 3.3449 31.2994
angles (deg): 90.00 90.00 120.00
Element x y z (fractional)
Tb 0.0000 0.0000 0.1006
Tb 0.0000 0.0000 0.8994
Tb 0.3333 0.6667 0.5661
Tb 0.3333 0.6667 0.7672
Tb 0.6667 0.3333 0.2328
Tb 0.6667 0.3333 0.4339
Al 0.0000 0.0000 0.0000
Al 0.3333 0.6667 0.6667
Al 0.6667 0.3333 0.3333
Tc 0.0000 0.0000 0.5000
Tc 0.3333 0.6667 0.1667
Tc 0.6667 0.3333 0.8333

***

# 21
VASP calculation (PBE) on a relaxed Tm12In6Ru crystal.

Total magnetic moment: 0.00 μB/f.u.
DFT formation energy: -211 meV/atom

a b c (Å): 7.9534 7.9534 7.9534
angles (deg): 90.22 90.22 90.22
Element x y z (fractional)
Tm 0.0310 0.9470 0.3031
Tm 0.0530 0.6969 0.9690
Tm 0.1478 0.4729 0.3694
Tm 0.3031 0.0310 0.9470
Tm 0.3694 0.1478 0.4729
Tm 0.4729 0.3694 0.1478
Tm 0.5271 0.6306 0.8522
Tm 0.6306 0.8522 0.5271
Tm 0.6969 0.9690 0.0530
Tm 0.8522 0.5272 0.6306
Tm 0.9470 0.3031 0.0310
Tm 0.9690 0.0530 0.6969
In 0.2227 0.3839 0.7582
In 0.2418 0.7773 0.6161
In 0.3839 0.7582 0.2227
In 0.6161 0.2418 0.7773
In 0.7582 0.2227 0.3839
In 0.7773 0.6161 0.2418
Ru 0.5000 0.5000 0.5000

***

# 22
VASP calculation (PBE) on a relaxed FeNi crystal.

Total magnetic moment: 3.74 μB/f.u.
DFT formation energy: 591 meV/atom

a b c (Å): 4.7399 4.7399 4.7399
angles (deg): 90.00 90.00 90.00
Element x y z (fractional)
Fe 0.0000 0.0000 0.0000
Fe 0.0000 0.5000 0.5000
Fe 0.5000 0.0000 0.5000
Fe 0.5000 0.5000 0.0000
Ni 0.0000 0.0000 0.5000
Ni 0.0000 0.5000 0.0000
Ni 0.5000 0.0000 0.0000
Ni 0.5000 0.5000 0.5000

***

# 23
VASP calculation (PBE) on a relaxed Al2InAg crystal.

Total magnetic moment: 0.00 μB/f.u.
DFT formation energy: 159 meV/atom

a b c (Å): 3.2324 4.6544 5.5208
angles (deg): 90.00 103.83 90.00
Element x y z (fractional)
Al 0.1312 0.0000 0.2673
Al 0.8688 0.0000 0.7327
In 0.5000 0.5000 0.0000
Ag 0.0000 0.5000 0.5000